1.
Crystalline PmAlZn11 at its relaxed geometry. Source: Alexandria, functional GGA-PBE.

Computed properties:
Its space group is C2/m, No. 12. For the total magnetic moment, the calculation gives 0.00 μB/f.u. The value obtained for the energy of formation from the pure elements is -0.185 eV/atom. Its density of states at the Fermi level is 2.4 states/eV/cell.

a = 5.2748 Å, b = 6.8402 Å, c = 6.8405 Å
α = 81.39°, β = 67.32°, γ = 67.15°
Fractional coordinates of all 13 atoms:
Zn1 0.0000 0.5000 0.0000
Zn2 0.6449 0.3547 0.3562
Zn3 0.5000 0.0000 0.5000
Zn4 0.4980 0.2176 0.7792
Zn5 0.9989 0.6453 0.3562
Zn6 0.0011 0.3547 0.6438
Pm1 0.0000 0.0000 0.0000
Zn7 0.5020 0.7824 0.2208
Al1 0.5000 0.5000 0.0000
Zn8 0.0000 0.0000 0.5000
Zn9 0.7229 0.7824 0.7792
Zn10 0.2771 0.2176 0.2208
Zn11 0.3551 0.6453 0.6438

***

2.
Crystalline PmAlZn2 at its relaxed geometry. Source: Alexandria, functional GGA-PBE.

Computed properties:
Its space group is Amm2, No. 38. For the total magnetic moment, the calculation gives 0.00 μB/f.u. The value obtained for the energy of formation from the pure elements is -0.379 eV/atom. Its density of states at the Fermi level is 1.9 states/eV/cell.

a = 4.5537 Å, b = 5.6753 Å, c = 6.6774 Å
α = 90.00°, β = 90.00°, γ = 113.65°
Fractional coordinates of all 8 atoms:
Pm1 0.5697 0.1394 0.0000
Zn1 0.0452 0.0904 0.6912
Al1 0.2853 0.5706 0.8043
Zn2 0.8660 0.7321 0.0000
Al2 0.2853 0.5706 0.1957
Zn3 0.4666 0.9331 0.5000
Zn4 0.0452 0.0904 0.3088
Pm2 0.7654 0.5309 0.5000

***

3.
Crystalline PmAl2Zn at its relaxed geometry. Source: Alexandria, functional GGA-PBE.

Computed properties:
Its space group is Cmmm, No. 65. For the total magnetic moment, the calculation gives 0.00 μB/f.u. The value obtained for the energy of formation from the pure elements is -0.179 eV/atom. Its density of states at the Fermi level is 3.2 states/eV/cell.

a = 3.4319 Å, b = 5.4247 Å, c = 5.4247 Å
α = 119.49°, β = 90.00°, γ = 90.00°
Fractional coordinates of all 4 atoms:
Al1 0.5000 0.4450 0.0550
Al2 0.5000 0.9450 0.5550
Zn1 0.5000 0.4450 0.5550
Pm1 0.0000 0.9450 0.0550

***

4.
Crystalline Pm2Al5Zn3 at its relaxed geometry. Source: Alexandria, functional GGA-PBE.

Computed properties:
Its space group is Ibam, No. 72. For the total magnetic moment, the calculation gives 0.00 μB/f.u. The value obtained for the energy of formation from the pure elements is -0.411 eV/atom. The value obtained for the excess energy over the best structure of this formula in the dataset is 0.000 eV per atom. Its density of states at the Fermi level is 3.7 states/eV/cell.

a = 5.9629 Å, b = 8.6211 Å, c = 8.6211 Å
α = 78.63°, β = 69.77°, γ = 69.77°
Fractional coordinates of all 20 atoms:
Pm1 0.6266 0.1223 0.6246
Zn1 0.2500 0.0000 0.0000
Zn2 0.8773 0.7613 0.4841
Al1 0.8783 0.9841 0.2593
Al2 0.7500 0.5000 0.5000
Zn3 0.1227 0.2387 0.5159
Zn4 0.6227 0.5159 0.2387
Pm2 0.8734 0.3754 0.8777
Al3 0.3783 0.2593 0.9841
Al4 0.6217 0.7407 0.0159
Al5 0.9954 0.2546 0.2546
Pm3 0.1266 0.6246 0.1223
Al6 0.4954 0.2546 0.2546
Al7 0.2500 0.5000 0.5000
Al8 0.1217 0.0159 0.7407
Zn5 0.7500 0.0000 0.0000
Zn6 0.3773 0.4841 0.7613
Al9 0.0046 0.7454 0.7454
Pm4 0.3734 0.8777 0.3754
Al10 0.5046 0.7454 0.7454

***

5.
Crystalline Pm3Al4Zn2 at its relaxed geometry. Source: Alexandria, functional GGA-PBE.

Computed properties:
Its space group is C2/m, No. 12. For the total magnetic moment, the calculation gives 0.00 μB/f.u. The value obtained for the energy of formation from the pure elements is -0.457 eV/atom. Its density of states at the Fermi level is 6.1 states/eV/cell.

a = 4.5486 Å, b = 5.8956 Å, c = 8.7163 Å
α = 109.44°, β = 90.00°, γ = 112.69°
Fractional coordinates of all 9 atoms:
Zn1 0.6096 0.2193 0.2777
Al1 0.2737 0.5474 0.9370
Pm1 0.6680 0.3359 0.6642
Al2 0.0502 0.1004 0.3818
Zn2 0.3904 0.7807 0.7223
Pm2 0.3320 0.6641 0.3358
Al3 0.9498 0.8996 0.6182
Al4 0.7263 0.4526 0.0630
Pm3 0.0000 0.0000 0.0000

***

6.
Crystalline Pm3AlZn4 at its relaxed geometry. Source: Alexandria, functional GGA-PBE.

Computed properties:
Its space group is Immm, No. 71. For the total magnetic moment, the calculation gives 0.00 μB/f.u. The value obtained for the energy of formation from the pure elements is -0.130 eV/atom. Its density of states at the Fermi level is 4.6 states/eV/cell.

a = 4.7392 Å, b = 4.9539 Å, c = 9.1620 Å
α = 105.68°, β = 104.99°, γ = 90.00°
Fractional coordinates of all 8 atoms:
Zn1 0.6257 0.8653 0.2513
Zn2 0.3743 0.6139 0.7487
Zn3 0.3743 0.1347 0.7487
Al1 0.5000 0.0000 0.0000
Pm1 0.7930 0.7930 0.5860
Pm2 0.0000 0.5000 0.0000
Pm3 0.2070 0.2070 0.4140
Zn4 0.6257 0.3861 0.2513

***

7.
Crystalline PmAl2Zn5 at its relaxed geometry. Source: Alexandria, functional GGA-PBE.

Computed properties:
Its space group is Immm, No. 71. For the total magnetic moment, the calculation gives 0.00 μB/f.u. The value obtained for the energy of formation from the pure elements is -0.209 eV/atom. Its density of states at the Fermi level is 2.4 states/eV/cell.

a = 4.0363 Å, b = 6.4700 Å, c = 6.4700 Å
α = 67.01°, β = 71.82°, γ = 71.82°
Fractional coordinates of all 8 atoms:
Al1 0.2518 0.2482 0.2482
Al2 0.7482 0.7518 0.7518
Zn1 0.3661 0.8183 0.4494
Pm1 0.0000 0.0000 0.0000
Zn2 0.3661 0.4494 0.8183
Zn3 0.0000 0.5000 0.5000
Zn4 0.6339 0.5506 0.1817
Zn5 0.6339 0.1817 0.5506

***

8.
Crystalline Pm2AlZn2 at its relaxed geometry. Source: Alexandria, functional GGA-PBE.

Computed properties:
Its space group is P4/mbm, No. 127. For the total magnetic moment, the calculation gives 0.00 μB/f.u. The value obtained for the energy of formation from the pure elements is -0.351 eV/atom. Its density of states at the Fermi level is 19.2 states/eV/cell.

a = 7.0236 Å, b = 7.0236 Å, c = 9.3352 Å
α = 90.00°, β = 90.00°, γ = 90.00°
Fractional coordinates of all 20 atoms:
Zn1 0.3709 0.8709 0.7500
Al1 0.5000 0.5000 0.2502
Zn2 0.1291 0.3709 0.7500
Zn3 0.8709 0.6291 0.7500
Zn4 0.8709 0.6291 0.2500
Pm1 0.8244 0.3245 0.0000
Zn5 0.1291 0.3709 0.2500
Pm2 0.3245 0.1756 0.0000
Al2 0.0000 0.0000 0.2498
Zn6 0.3709 0.8709 0.2500
Pm3 0.6755 0.8244 0.0000
Pm4 0.6756 0.8245 0.5000
Pm5 0.1756 0.6755 0.0000
Zn7 0.6291 0.1291 0.2500
Al3 0.0000 0.0000 0.7502
Pm6 0.3244 0.1755 0.5000
Pm7 0.1755 0.6756 0.5000
Pm8 0.8245 0.3244 0.5000
Al4 0.5000 0.5000 0.7498
Zn8 0.6291 0.1291 0.7500

***

9.
Crystalline Pm4Al3Zn at its relaxed geometry. Source: Alexandria, functional GGA-PBE.

Computed properties:
Its space group is P4/mmm, No. 123. For the total magnetic moment, the calculation gives 0.00 μB/f.u. The value obtained for the energy of formation from the pure elements is -0.354 eV/atom. The value obtained for the excess energy over the best structure of this formula in the dataset is 0.000 eV per atom. Its density of states at the Fermi level is 5.7 states/eV/cell.

a = 3.6632 Å, b = 3.6632 Å, c = 15.0043 Å
α = 90.00°, β = 90.00°, γ = 90.00°
Fractional coordinates of all 8 atoms:
Pm1 0.0000 0.0000 0.6258
Al1 0.5000 0.5000 0.5000
Pm2 0.0000 0.0000 0.8785
Pm3 0.0000 0.0000 0.1215
Pm4 0.0000 0.0000 0.3742
Al2 0.5000 0.5000 0.2466
Al3 0.5000 0.5000 0.7534
Zn1 0.5000 0.5000 0.0000

***

10.
Crystalline Pm4AlZn3 at its relaxed geometry. Source: Alexandria, functional GGA-PBE.

Computed properties:
Its space group is R-3m, No. 166. For the total magnetic moment, the calculation gives 0.00 μB/f.u. The value obtained for the energy of formation from the pure elements is -0.326 eV/atom. The value obtained for the excess energy over the best structure of this formula in the dataset is 0.000 eV per atom. Its density of states at the Fermi level is 8.9 states/eV/cell.

a = 5.1845 Å, b = 5.1845 Å, c = 9.0053 Å
α = 73.27°, β = 73.27°, γ = 60.00°
Fractional coordinates of all 8 atoms:
Pm1 0.1262 0.1262 0.6213
Pm2 0.6237 0.6237 0.1288
Zn1 0.7485 0.7485 0.7546
Zn2 0.2515 0.2515 0.2454
Zn3 0.5000 0.5000 0.5000
Pm3 0.8738 0.8738 0.3787
Pm4 0.3763 0.3763 0.8712
Al1 0.0000 0.0000 0.0000

***

Repeat the tenth record exactly.
Crystalline Pm4AlZn3 at its relaxed geometry. Source: Alexandria, functional GGA-PBE.

Computed properties:
Its space group is R-3m, No. 166. For the total magnetic moment, the calculation gives 0.00 μB/f.u. The value obtained for the energy of formation from the pure elements is -0.326 eV/atom. The value obtained for the excess energy over the best structure of this formula in the dataset is 0.000 eV per atom. Its density of states at the Fermi level is 8.9 states/eV/cell.

a = 5.1845 Å, b = 5.1845 Å, c = 9.0053 Å
α = 73.27°, β = 73.27°, γ = 60.00°
Fractional coordinates of all 8 atoms:
Pm1 0.1262 0.1262 0.6213
Pm2 0.6237 0.6237 0.1288
Zn1 0.7485 0.7485 0.7546
Zn2 0.2515 0.2515 0.2454
Zn3 0.5000 0.5000 0.5000
Pm3 0.8738 0.8738 0.3787
Pm4 0.3763 0.3763 0.8712
Al1 0.0000 0.0000 0.0000